Record 1
The following is a DFT calculation (PBE) of crystalline ScSbSe2Br at its relaxed geometry.

Cell and atoms, written as POSCAR:
```
ScSbSe2Br
1.0
5.416 0.000 0.000
0.000 5.416 0.000
0.000 0.000 5.351
Sc Sb Se Br
1 1 2 1
Direct
0.000 0.000 0.000 Sc
0.500 0.500 0.500 Sb
0.000 0.500 0.500 Se
0.500 0.000 0.500 Se
0.500 0.500 0.000 Br
```

Computed properties:
Symmetry: P4/mmm (123)
E_form (uncorrected): 0.0301 eV/atom
Magnetic moment: 1.006 μB/f.u.
Calculated volume: 31.4 Å³ per atom
DFT total energy: -3.789 eV per atom
Density of states at the Fermi level: 1.061 states/eV per atom

***

Record 2
The following is a DFT calculation (PBE) of crystalline ScSbSe2Br at its relaxed geometry.

Cell and atoms, written as POSCAR:
```
ScSbSe2Br
1.0
5.248 0.000 0.000
0.000 5.248 0.000
0.000 0.000 5.047
Sc Sb Se Br
1 1 2 1
Direct
0.000 0.000 0.000 Sc
0.500 0.500 0.500 Sb
0.000 0.500 0.000 Se
0.500 0.000 0.000 Se
0.000 0.000 0.500 Br
```

Computed properties:
Symmetry: P4/mmm (123)
E_form (uncorrected): -0.5084 eV/atom
Magnetic moment: 0.001 μB/f.u.
Calculated volume: 27.8 Å³ per atom
DFT total energy: -4.328 eV per atom
Density of states at the Fermi level: 0.670 states/eV per atom

***

Record 3
The following is a DFT calculation (PBE) of crystalline ScSb2TeBr at its relaxed geometry.

Cell and atoms, written as POSCAR:
```
ScSb2TeBr
1.0
5.402 0.000 0.000
0.000 5.402 0.000
0.000 0.000 5.609
Sc Sb Te Br
1 2 1 1
Direct
0.000 0.000 0.000 Sc
0.000 0.500 0.500 Sb
0.500 0.000 0.500 Sb
0.500 0.500 0.000 Te
0.500 0.500 0.500 Br
```

Computed properties:
Symmetry: P4/mmm (123)
E_form (uncorrected): 0.6232 eV/atom
Magnetic moment: 0.000 μB/f.u.
Calculated volume: 32.7 Å³ per atom
DFT total energy: -3.255 eV per atom
Density of states at the Fermi level: 0.979 states/eV per atom

***

Record 4
The following is a DFT calculation (PBE) of crystalline ScSb2TeBr at its relaxed geometry.

Cell and atoms, written as POSCAR:
```
ScSb2TeBr
1.0
5.549 0.000 0.000
0.000 5.549 0.000
0.000 0.000 5.377
Sc Sb Te Br
1 2 1 1
Direct
0.000 0.000 0.000 Sc
0.000 0.500 0.000 Sb
0.500 0.000 0.000 Sb
0.000 0.000 0.500 Te
0.500 0.500 0.500 Br
```

Computed properties:
Symmetry: P4/mmm (123)
E_form (uncorrected): -0.0190 eV/atom
Magnetic moment: 0.000 μB/f.u.
Calculated volume: 33.1 Å³ per atom
DFT total energy: -3.897 eV per atom
Density of states at the Fermi level: 0.459 states/eV per atom

***

Record 5
The following is a DFT calculation (PBE) of crystalline ZrScSbBr2 at its relaxed geometry.

Cell and atoms, written as POSCAR:
```
ZrScSbBr2
1.0
4.864 0.000 0.000
0.000 4.864 0.000
0.000 0.000 6.889
Zr Sc Sb Br
1 1 1 2
Direct
0.000 0.000 0.000 Zr
0.000 0.000 0.500 Sc
0.500 0.500 0.000 Sb
0.000 0.500 0.500 Br
0.500 0.000 0.500 Br
```

Computed properties:
Symmetry: P4/mmm (123)
E_form (uncorrected): -0.1108 eV/atom
Magnetic moment: 0.000 μB/f.u.
Calculated volume: 32.6 Å³ per atom
DFT total energy: -4.580 eV per atom
Density of states at the Fermi level: 0.665 states/eV per atom

***

Record 6
The following is a DFT calculation (PBE) of crystalline SbSe2Br at its relaxed geometry.

Cell and atoms, written as POSCAR:
```
SbSe2Br
1.0
3.864 0.000 0.000
0.000 3.864 0.000
0.000 0.000 7.008
Sb Se Br
1 2 1
Direct
0.000 0.000 0.000 Sb
0.500 0.500 0.183 Se
0.500 0.500 0.817 Se
0.000 0.000 0.500 Br
```

Computed properties:
Symmetry: P4/mmm (123)
E_form (uncorrected): 0.0908 eV/atom
Magnetic moment: 0.000 μB/f.u.
Calculated volume: 26.2 Å³ per atom
DFT total energy: -3.100 eV per atom
Density of states at the Fermi level: 0.286 states/eV per atom

***

Record 7
The following is a DFT calculation (PBE) of crystalline Sb5Se12Br3 at its relaxed geometry.

Cell and atoms, written as POSCAR:
```
Sb5Se12Br3
1.0
-8.516 8.516 8.516
8.516 -8.516 8.516
8.516 8.516 -8.516
Sb Se Br
20 48 12
Direct
0.000 0.000 0.000 Sb
0.000 0.000 0.500 Sb
0.000 0.500 0.000 Sb
0.000 0.500 0.500 Sb
0.125 0.750 0.875 Sb
0.125 0.875 0.250 Sb
0.250 0.125 0.875 Sb
0.250 0.625 0.375 Sb
0.375 0.250 0.625 Sb
0.375 0.625 0.750 Sb
0.500 0.000 0.000 Sb
0.500 0.000 0.500 Sb
0.500 0.500 0.000 Sb
0.500 0.500 0.500 Sb
0.625 0.375 0.250 Sb
0.625 0.750 0.375 Sb
0.750 0.375 0.625 Sb
0.750 0.875 0.125 Sb
0.875 0.125 0.750 Sb
0.875 0.250 0.125 Sb
0.035 0.226 0.106 Se
0.035 0.309 0.929 Se
0.071 0.606 0.380 Se
0.071 0.965 0.691 Se
0.106 0.035 0.226 Se
0.106 0.571 0.880 Se
0.120 0.726 0.691 Se
0.120 0.894 0.429 Se
0.191 0.226 0.620 Se
0.191 0.465 0.571 Se
0.226 0.106 0.035 Se
0.226 0.620 0.191 Se
0.274 0.309 0.880 Se
0.274 0.465 0.394 Se
0.309 0.880 0.274 Se
0.309 0.929 0.035 Se
0.380 0.071 0.606 Se
0.380 0.809 0.774 Se
0.394 0.274 0.465 Se
0.394 0.620 0.929 Se
0.429 0.120 0.894 Se
0.429 0.809 0.535 Se
0.465 0.394 0.274 Se
0.465 0.571 0.191 Se
0.535 0.429 0.809 Se
0.535 0.606 0.726 Se
0.571 0.191 0.465 Se
0.571 0.880 0.106 Se
0.606 0.380 0.071 Se
0.606 0.726 0.535 Se
0.620 0.191 0.226 Se
0.620 0.929 0.394 Se
0.691 0.071 0.965 Se
0.691 0.120 0.726 Se
0.726 0.535 0.606 Se
0.726 0.691 0.120 Se
0.774 0.380 0.809 Se
0.774 0.894 0.965 Se
0.809 0.535 0.429 Se
0.809 0.774 0.380 Se
0.880 0.106 0.571 Se
0.880 0.274 0.309 Se
0.894 0.429 0.120 Se
0.894 0.965 0.774 Se
0.929 0.035 0.309 Se
0.929 0.394 0.620 Se
0.965 0.691 0.071 Se
0.965 0.774 0.894 Se
0.125 0.250 0.375 Br
0.125 0.375 0.750 Br
0.250 0.375 0.125 Br
0.250 0.875 0.625 Br
0.375 0.125 0.250 Br
0.375 0.750 0.125 Br
0.625 0.250 0.875 Br
0.625 0.875 0.750 Br
0.750 0.125 0.375 Br
0.750 0.625 0.875 Br
0.875 0.625 0.250 Br
0.875 0.750 0.625 Br
```

Computed properties:
Symmetry: Ia-3d (230)
E_form (uncorrected): 0.1787 eV/atom
Magnetic moment: 0.035 μB/f.u.
Calculated volume: 30.9 Å³ per atom
DFT total energy: -3.194 eV per atom
Density of states at the Fermi level: 1.287 states/eV per atom

***

Record 8
The following is a DFT calculation (PBE) of crystalline SbSe2Br at its relaxed geometry.

Cell and atoms, written as POSCAR:
```
SbSe2Br
1.0
1.723 -3.354 0.000
1.723 3.354 0.000
0.000 0.000 9.288
Sb Se Br
1 2 1
Direct
0.000 0.000 0.000 Sb
0.000 0.000 0.527 Se
0.500 0.500 0.720 Se
0.500 0.500 0.254 Br
```

Computed properties:
Symmetry: Cmm2 (35)
E_form (uncorrected): 0.2058 eV/atom
Magnetic moment: 0.000 μB/f.u.
Calculated volume: 26.8 Å³ per atom
DFT total energy: -2.985 eV per atom
Density of states at the Fermi level: 0.689 states/eV per atom

***

Record 9
The following is a DFT calculation (PBE) of crystalline SbSe2Br at its relaxed geometry.

Cell and atoms, written as POSCAR:
```
SbSe2Br
1.0
-2.250 2.250 4.623
2.250 -2.250 4.623
2.250 2.250 -4.623
Sb Se Br
1 2 1
Direct
0.000 0.000 0.000 Sb
0.250 0.750 0.500 Se
0.750 0.250 0.500 Se
0.500 0.500 0.000 Br
```

Computed properties:
Symmetry: I4/mmm (139)
E_form (uncorrected): 0.3562 eV/atom
Magnetic moment: 0.000 μB/f.u.
Calculated volume: 23.4 Å³ per atom
DFT total energy: -2.835 eV per atom
Density of states at the Fermi level: 0.809 states/eV per atom

***

Record 10
The following is a DFT calculation (PBE) of crystalline SbSeBr2 at its relaxed geometry.

Cell and atoms, written as POSCAR:
```
SbSeBr2
1.0
2.012 1.162 8.697
-2.012 1.162 8.697
0.000 -2.324 8.697
Sb Se Br
1 1 2
Direct
0.000 0.000 0.000 Sb
0.726 0.726 0.726 Se
0.258 0.258 0.258 Br
0.472 0.472 0.472 Br
```

Computed properties:
Symmetry: R3m (160)
E_form (uncorrected): -0.1389 eV/atom
Magnetic moment: 0.000 μB/f.u.
Calculated volume: 30.5 Å³ per atom
DFT total energy: -2.877 eV per atom
Density of states at the Fermi level: 1.081 states/eV per atom

***

Record 11
The following is a DFT calculation (PBE) of crystalline SbSeBr2 at its relaxed geometry.

Cell and atoms, written as POSCAR:
```
SbSeBr2
1.0
-5.173 5.173 2.706
5.173 -5.173 2.706
5.173 5.173 -2.706
Sb Se Br
2 2 4
Direct
0.000 0.000 0.000 Sb
0.750 0.250 0.500 Sb
0.250 0.750 0.500 Se
0.500 0.500 0.000 Se
0.375 0.231 0.356 Br
0.769 0.125 0.144 Br
0.875 0.019 0.644 Br
0.981 0.625 0.856 Br
```

Computed properties:
Symmetry: I-42d (122)
E_form (uncorrected): -0.0458 eV/atom
Magnetic moment: 0.909 μB/f.u.
Calculated volume: 36.2 Å³ per atom
DFT total energy: -2.784 eV per atom
Density of states at the Fermi level: 1.168 states/eV per atom

***

Record 12
The following is a DFT calculation (PBE) of crystalline SbSeBr2 at its relaxed geometry.

Cell and atoms, written as POSCAR:
```
SbSeBr2
1.0
-1.880 2.363 7.577
1.880 -2.363 7.577
1.880 2.363 -7.577
Sb Se Br
1 1 2
Direct
0.000 0.000 0.000 Sb
0.500 0.500 0.000 Se
0.151 0.651 0.500 Br
0.849 0.349 0.500 Br
```

Computed properties:
Symmetry: Immm (71)
E_form (uncorrected): -0.0453 eV/atom
Magnetic moment: 0.000 μB/f.u.
Calculated volume: 33.7 Å³ per atom
DFT total energy: -2.783 eV per atom
Density of states at the Fermi level: 0.563 states/eV per atom